(1)
Here is a relaxed NaIr2Se crystal from the Alexandria database. Energies are from PBE.

Results
ΔE_f (raw) = 536 meV per atom
crystal system = tetragonal
calculated volume = 18.77 A^3/atom
E_tot = -5.0952 eV per atom

a b c (Å): 7.4740 7.4740 5.9293
angles (deg): 50.93 50.93 90.00
With the nearest neighbours (Å) after each atom.
Element x y z (fractional)
Se: 0.7500 0.2500 0.5000  4 Ir 2.38
Se: 0.0000 0.0000 0.0000  4 Ir 2.38
Ir: 0.0499 0.6250 0.2500  2 Se 2.38
Ir: 0.8750 0.9501 0.7500  2 Se 2.38
Ir: 0.7001 0.1250 0.2500  2 Se 2.38
Ir: 0.3750 0.2999 0.7500  2 Se 2.38
Na: 0.5000 0.5000 0.0000  2 Se 2.69
Na: 0.2500 0.7500 0.5000  2 Se 2.69

(2)
Here is a relaxed NaIrSe2 crystal from the Alexandria database. Energies are from PBE.

Results
ΔE_f (raw) = -574 meV per atom
crystal system = trigonal
calculated volume = 21.46 A^3/atom
E_tot = -4.8610 eV per atom

a b c (Å): 3.8500 3.8500 7.0472
angles (deg): 74.15 74.15 60.00
With the nearest neighbours (Å) after each atom.
Element x y z (fractional)
Ir: 0.6664 0.6664 0.0007  6 Se 2.54
Se: 0.0609 0.0609 0.8172  3 Ir 2.54
Se: 0.2722 0.2722 0.1833  3 Ir 2.54
Na: 0.5004 0.5004 0.4989  6 Se 3.07-3.08, 1 Ir 3.33

(3)
Here is a relaxed NaIr2Se4 crystal from the Alexandria database. Energies are from PBE.

Results
ΔE_f (raw) = -399 meV per atom
crystal system = orthorhombic
calculated volume = 23.35 A^3/atom
E_tot = -5.1105 eV per atom

a b c (Å): 7.7210 7.7210 7.7375
angles (deg): 119.92 119.90 90.04
With the nearest neighbours (Å) after each atom.
Element x y z (fractional)
Ir: 0.6250 0.3750 0.2500  6 Se 2.53
Ir: 0.6250 0.3750 0.7500  6 Se 2.53
Ir: 0.1250 0.3750 0.7500  6 Se 2.53
Ir: 0.6250 0.8750 0.2500  6 Se 2.53
Se: 0.8134 0.6038 0.2075  3 Ir 2.53, 1 Na 2.76
Se: 0.3942 0.6037 0.2076  3 Ir 2.53, 1 Na 2.76
Se: 0.3961 0.1865 0.7924  3 Ir 2.53, 1 Na 2.76
Se: 0.3963 0.6059 0.7925  3 Ir 2.53, 1 Na 2.76
Se: 0.8537 0.1441 0.7075  3 Ir 2.53, 1 Na 2.76
Se: 0.8558 0.1463 0.2924  3 Ir 2.53, 1 Na 2.76
Se: 0.8539 0.5635 0.7076  3 Ir 2.53, 1 Na 2.76
Se: 0.4366 0.1462 0.2925  3 Ir 2.53, 1 Na 2.76
Na: 0.2500 0.7500 0.5000  4 Se 2.76
Na: 0.0000 0.0000 0.0000  4 Se 2.76

(4)
Here is a relaxed Na3IrSe crystal from the Alexandria database. Energies are from PBE.

Results
ΔE_f (raw) = 598 meV per atom
crystal system = cubic
calculated volume = 32.71 A^3/atom
E_tot = -2.6625 eV per atom

a b c (Å): 5.4687 5.4687 5.4687
angles (deg): 90.00 90.00 90.00
With the nearest neighbours (Å) after each atom.
Element x y z (fractional)
Na: 0.5000 0.0000 0.0000  2 Ir 2.73
Na: 0.0000 0.5000 0.0000  2 Ir 2.73
Na: 0.0000 0.0000 0.5000  2 Ir 2.73
Se: 0.5000 0.5000 0.5000  12 Na 3.87
Ir: 0.0000 0.0000 0.0000  6 Na 2.73

(5)
Here is a relaxed Na4SnIr3Se8 crystal from the Alexandria database. Energies are from PBE.

Results
ΔE_f (raw) = -579 meV per atom
crystal system = monoclinic
calculated volume = 22.27 A^3/atom
E_tot = -4.5625 eV per atom

a b c (Å): 7.7781 8.1501 7.7785
angles (deg): 118.51 120.00 90.00
With the nearest neighbours (Å) after each atom.
Element x y z (fractional)
Se: 0.7062 0.6977 0.9526  2 Ir 2.54-2.55, 1 Sn 2.77
Se: 0.7536 0.3023 0.0474  2 Ir 2.54-2.55, 1 Sn 2.77
Se: 0.2938 0.3023 0.0474  2 Ir 2.54-2.55, 1 Sn 2.77
Se: 0.7544 0.3029 0.5087  2 Ir 2.54, 1 Sn 2.77
Se: 0.2456 0.6971 0.4913  2 Ir 2.54, 1 Sn 2.77
Se: 0.2714 0.3155 0.5427  3 Ir 2.57-2.58
Se: 0.2464 0.6977 0.9526  2 Ir 2.54-2.55, 1 Sn 2.77
Se: 0.7286 0.6845 0.4573  3 Ir 2.57-2.58
Na: 0.5000 0.0000 0.0000  6 Se 2.92
Na: 0.5000 0.0000 0.5000  6 Se 3.11-3.12
Na: 0.0000 0.0000 0.5000  6 Se 3.11-3.12
Na: 0.0000 0.0000 0.0000  6 Se 3.10-3.12
Ir: 0.5000 0.5000 0.5000  6 Se 2.54-2.57
Ir: 0.5000 0.5000 0.0000  6 Se 2.54-2.58
Ir: 0.0000 0.5000 0.5000  6 Se 2.54-2.57
Sn: 0.0000 0.5000 0.0000  6 Se 2.77

(6)
Here is a relaxed NaTaIr2Se crystal from the Alexandria database. Energies are from PBE.

Results
ΔE_f (raw) = 966 meV per atom
crystal system = tetragonal
calculated volume = 20.65 A^3/atom
E_tot = -5.9094 eV per atom

a b c (Å): 4.6780 4.7174 4.6780
angles (deg): 90.00 90.00 90.00
With the nearest neighbours (Å) after each atom.
Element x y z (fractional)
Ta: 0.0000 0.5000 0.0000  2 Se 2.36
Ir: 0.5000 0.0000 0.0000  2 Se 2.34
Ir: 0.0000 0.0000 0.5000  2 Se 2.34
Na: 0.5000 0.5000 0.5000  4 Ta 3.31, 8 Ir 3.32
Se: 0.0000 0.0000 0.0000  4 Ir 2.34, 2 Ta 2.36

(7)
Here is a relaxed Na2Ta2IrSe6 crystal from the Alexandria database. Energies are from PBE.

Results
ΔE_f (raw) = -686 meV per atom
crystal system = monoclinic
calculated volume = 23.23 A^3/atom
E_tot = -5.7871 eV per atom

a b c (Å): 6.3350 6.3350 7.6043
angles (deg): 96.41 96.41 120.73
With the nearest neighbours (Å) after each atom.
Element x y z (fractional)
Na: 0.8182 0.1818 0.0000  6 Se 2.94-3.08
Na: 0.1818 0.8182 0.0000  6 Se 2.94-3.08
Se: 0.0380 0.3826 0.6910  1 Ir 2.57, 2 Ta 2.61-2.77
Se: 0.6174 0.9620 0.3090  1 Ir 2.57, 2 Ta 2.61-2.77
Se: 0.9620 0.6174 0.3090  1 Ir 2.57, 2 Ta 2.61-2.77
Se: 0.7537 0.7537 0.7360  2 Ta 2.56, 1 Ir 2.62
Se: 0.3826 0.0380 0.6910  1 Ir 2.57, 2 Ta 2.61-2.77
Se: 0.2463 0.2463 0.2640  2 Ta 2.56, 1 Ir 2.62
Ta: 0.6314 0.3686 0.5000  6 Se 2.56-2.77
Ta: 0.3686 0.6314 0.5000  6 Se 2.56-2.77
Ir: 0.0000 0.0000 0.5000  6 Se 2.57-2.62

(8)
Here is a relaxed NaTeIr2Se crystal from the Alexandria database. Energies are from PBE.

Results
ΔE_f (raw) = 958 meV per atom
crystal system = tetragonal
calculated volume = 27.06 A^3/atom
E_tot = -4.1757 eV per atom

a b c (Å): 4.8883 5.6616 4.8883
angles (deg): 90.00 90.00 90.00
With the nearest neighbours (Å) after each atom.
Element x y z (fractional)
Se: 0.0000 0.5000 0.0000  2 Te 2.83
Ir: 0.0000 0.0000 0.5000  2 Te 2.44
Ir: 0.5000 0.0000 0.0000  2 Te 2.44
Na: 0.5000 0.5000 0.5000  4 Se 3.46, 8 Ir 3.74
Te: 0.0000 0.0000 0.0000  4 Ir 2.44

(9)
Here is a relaxed NaTi2IrSe crystal from the Alexandria database. Energies are from PBE.

Results
ΔE_f (raw) = 220 meV per atom
crystal system = tetragonal
calculated volume = 23.52 A^3/atom
E_tot = -5.6712 eV per atom

a b c (Å): 4.6914 5.3423 4.6914
angles (deg): 90.00 90.00 90.00
With the nearest neighbours (Å) after each atom.
Element x y z (fractional)
Se: 0.5000 0.5000 0.5000  4 Na 3.32, 8 Ti 3.55
Ti: 0.5000 0.0000 0.0000  2 Ir 2.35
Ti: 0.0000 0.0000 0.5000  2 Ir 2.35
Ir: 0.0000 0.0000 0.0000  4 Ti 2.35
Na: 0.0000 0.5000 0.0000  2 Ir 2.67

(10)
Here is a relaxed Na2TiIr2Se6 crystal from the Alexandria database. Energies are from PBE.

Results
ΔE_f (raw) = -704 meV per atom
crystal system = monoclinic
calculated volume = 23.04 A^3/atom
E_tot = -5.1737 eV per atom

a b c (Å): 6.4483 6.4483 7.3526
angles (deg): 98.46 98.46 119.84
With the nearest neighbours (Å) after each atom.
Element x y z (fractional)
Se: 0.9334 0.5908 0.3036  2 Ir 2.52-2.53, 1 Ti 2.61
Se: 0.2760 0.2760 0.3045  2 Ir 2.54, 1 Ti 2.60
Se: 0.5908 0.9334 0.3036  2 Ir 2.52-2.53, 1 Ti 2.61
Se: 0.4092 0.0666 0.6964  2 Ir 2.52-2.53, 1 Ti 2.61
Se: 0.0666 0.4092 0.6964  2 Ir 2.52-2.53, 1 Ti 2.61
Se: 0.7240 0.7240 0.6955  2 Ir 2.54, 1 Ti 2.60
Ir: 0.6680 0.3320 0.5000  6 Se 2.52-2.54
Ir: 0.3320 0.6680 0.5000  6 Se 2.52-2.54
Ti: 0.0000 0.0000 0.5000  6 Se 2.60-2.61
Na: 0.8351 0.1649 0.0000  6 Se 3.00-3.06
Na: 0.1649 0.8351 0.0000  6 Se 3.00-3.06

(11)
Here is a relaxed Na2U2IrSe6 crystal from the Alexandria database. Energies are from PBE.

Results
ΔE_f (raw) = -908 meV per atom
crystal system = monoclinic
calculated volume = 25.82 A^3/atom
E_tot = -5.9063 eV per atom

a b c (Å): 6.6532 6.6532 7.7116
angles (deg): 98.57 98.57 119.44
With the nearest neighbours (Å) after each atom.
Element x y z (fractional)
Se: 0.2303 0.2303 0.2842  1 Ir 2.58, 2 U 2.86
Se: 0.3853 0.0839 0.7257  1 Ir 2.62, 2 U 2.83-2.85
Se: 0.6147 0.9161 0.2743  1 Ir 2.62, 2 U 2.83-2.85
Se: 0.7697 0.7697 0.7158  1 Ir 2.58, 2 U 2.86
Se: 0.9161 0.6147 0.2743  1 Ir 2.62, 2 U 2.83-2.85
Se: 0.0839 0.3853 0.7257  1 Ir 2.62, 2 U 2.83-2.85
Na: 0.1679 0.8320 0.0000  6 Se 2.99-3.12
Na: 0.8320 0.1679 0.0000  6 Se 2.99-3.12
U: 0.6726 0.3274 0.5000  6 Se 2.83-2.86
U: 0.3274 0.6726 0.5000  6 Se 2.83-2.86
Ir: 0.0000 0.0000 0.5000  6 Se 2.58-2.62

(12)
Here is a relaxed NaSi2Ir2 crystal from the Alexandria database. Energies are from PBE.

Results
ΔE_f (raw) = -594 meV per atom
crystal system = tetragonal
calculated volume = 16.67 A^3/atom
E_tot = -6.5716 eV per atom

a b c (Å): 4.0980 4.0980 5.7479
angles (deg): 69.12 69.12 90.00
With the nearest neighbours (Å) after each atom.
Element x y z (fractional)
Si: 0.3745 0.3745 0.2511  4 Ir 2.39, 1 Si 2.49
Si: 0.6255 0.6255 0.7489  4 Ir 2.39, 1 Si 2.49
Ir: 0.2500 0.7500 0.5000  4 Si 2.39
Ir: 0.7500 0.2500 0.5000  4 Si 2.39
Na: 0.0000 0.0000 0.0000  8 Si 3.15, 8 Ir 3.22

(13)
Here is a relaxed NaSiIr crystal from the Alexandria database. Energies are from PBE.

Results
ΔE_f (raw) = -486 meV per atom
crystal system = tetragonal
calculated volume = 19.29 A^3/atom
E_tot = -5.6872 eV per atom

a b c (Å): 4.1033 4.1033 6.8731
angles (deg): 90.00 90.00 90.00
With the nearest neighbours (Å) after each atom.
Element x y z (fractional)
Ir: 0.0000 0.0000 0.5000  4 Si 2.40
Ir: 0.5000 0.5000 0.5000  4 Si 2.40
Na: 0.0000 0.5000 0.8517  5 Si 3.13-3.21, 4 Ir 3.17
Na: 0.5000 0.0000 0.1483  5 Si 3.13-3.21, 4 Ir 3.17
Si: 0.0000 0.5000 0.3181  4 Ir 2.40
Si: 0.5000 0.0000 0.6819  4 Ir 2.40

(14)
Here is a relaxed NaSi2Ir2 crystal from the Alexandria database. Energies are from PBE.

Results
ΔE_f (raw) = -437 meV per atom
crystal system = tetragonal
calculated volume = 16.54 A^3/atom
E_tot = -6.4141 eV per atom

a b c (Å): 3.8689 3.8689 6.1646
angles (deg): 71.71 71.71 90.00
With the nearest neighbours (Å) after each atom.
Element x y z (fractional)
Ir: 0.6214 0.6214 0.7572  4 Si 2.40, 1 Ir 2.68
Ir: 0.3786 0.3786 0.2428  4 Si 2.40, 1 Ir 2.68
Si: 0.7500 0.2500 0.5000  4 Ir 2.40
Si: 0.2500 0.7500 0.5000  4 Ir 2.40
Na: 0.0000 0.0000 0.0000  8 Ir 3.05, 8 Si 3.37

(15)
Here is a relaxed NaSi3Ir crystal from the Alexandria database. Energies are from PBE.

Results
ΔE_f (raw) = 427 meV per atom
crystal system = cubic
calculated volume = 21.31 A^3/atom
E above lowest polymorph = 0 meV per atom
E_tot = -4.8626 eV per atom

a b c (Å): 4.7410 4.7410 4.7410
angles (deg): 90.00 90.00 90.00
With the nearest neighbours (Å) after each atom.
Element x y z (fractional)
Si: 0.0000 0.0000 0.5000  2 Ir 2.37
Si: 0.5000 0.0000 0.0000  2 Ir 2.37
Si: 0.0000 0.5000 0.0000  2 Ir 2.37
Ir: 0.0000 0.0000 0.0000  6 Si 2.37
Na: 0.5000 0.5000 0.5000  12 Si 3.35

(16)
Here is a relaxed NaSi2Ir crystal from the Alexandria database. Energies are from PBE.

Results
ΔE_f (raw) = -54 meV per atom
crystal system = tetragonal
calculated volume = 25.06 A^3/atom
E_tot = -5.3110 eV per atom

a b c (Å): 5.1990 5.1990 8.2794
angles (deg): 71.70 71.70 90.00
With the nearest neighbours (Å) after each atom.
Element x y z (fractional)
Si: 0.3750 0.1260 0.7500  2 Ir 2.26
Si: 0.8760 0.6250 0.2500  2 Ir 2.26
Si: 0.8740 0.1250 0.2500  2 Ir 2.26
Si: 0.8750 0.1240 0.7500  2 Ir 2.26
Na: 0.5000 0.5000 0.0000  8 Si 3.44-3.45, 4 Ir 3.68
Na: 0.2500 0.7500 0.5000  8 Si 3.44-3.45, 4 Ir 3.68
Ir: 0.0000 0.0000 0.0000  4 Si 2.26
Ir: 0.7500 0.2500 0.5000  4 Si 2.26

(17)
Here is a relaxed NaSi3Ir crystal from the Alexandria database. Energies are from PBE.

Results
ΔE_f (raw) = 1985 meV per atom
crystal system = cubic
calculated volume = 19.95 A^3/atom
E above lowest polymorph = 1558 meV per atom
E_tot = -3.3048 eV per atom

a b c (Å): 4.6379 4.6379 4.6379
angles (deg): 90.00 90.00 90.00
With the nearest neighbours (Å) after each atom.
Element x y z (fractional)
Si: 0.5000 0.0000 0.0000  2 Na 2.32
Si: 0.0000 0.0000 0.5000  2 Na 2.32
Si: 0.0000 0.5000 0.0000  2 Na 2.32
Ir: 0.5000 0.5000 0.5000  12 Si 3.28
Na: 0.0000 0.0000 0.0000  6 Si 2.32

(18)
Here is a relaxed Na2SiIr2 crystal from the Alexandria database. Energies are from PBE.

Results
ΔE_f (raw) = -202 meV per atom
crystal system = tetragonal
calculated volume = 18.59 A^3/atom
E above lowest polymorph = 0 meV per atom
E_tot = -5.3588 eV per atom

a b c (Å): 6.0917 6.0917 5.0101
angles (deg): 90.00 90.00 90.00
With the nearest neighbours (Å) after each atom.
Element x y z (fractional)
Ir: 0.3548 0.8548 0.0000  2 Si 2.34, 1 Ir 2.50
Ir: 0.1452 0.3548 0.0000  2 Si 2.34, 1 Ir 2.50
Ir: 0.8548 0.6452 0.0000  2 Si 2.34, 1 Ir 2.50
Ir: 0.6452 0.1452 0.0000  2 Si 2.34, 1 Ir 2.50
Si: 0.0000 0.0000 0.0000  4 Ir 2.34
Si: 0.5000 0.5000 0.0000  4 Ir 2.34
Na: 0.6692 0.8308 0.5000  5 Na 2.91-3.20, 6 Ir 2.97-3.16
Na: 0.3308 0.1692 0.5000  5 Na 2.91-3.20, 6 Ir 2.97-3.16
Na: 0.8308 0.3308 0.5000  5 Na 2.91-3.20, 6 Ir 2.97-3.16
Na: 0.1692 0.6692 0.5000  5 Na 2.91-3.20, 6 Ir 2.97-3.16

(19)
Here is a relaxed Na2SiIr2 crystal from the Alexandria database. Energies are from PBE.

Results
ΔE_f (raw) = 629 meV per atom
crystal system = tetragonal
calculated volume = 23.05 A^3/atom
E above lowest polymorph = 831 meV per atom
E_tot = -4.5277 eV per atom

a b c (Å): 3.4815 3.4815 9.8230
angles (deg): 79.79 79.79 90.00
With the nearest neighbours (Å) after each atom.
Element x y z (fractional)
Na: 0.3896 0.3896 0.2208  4 Ir 3.17, 4 Si 3.24, 4 Na 3.48
Na: 0.6104 0.6104 0.7792  4 Ir 3.17, 4 Si 3.24, 4 Na 3.48
Si: 0.0000 0.0000 0.0000  8 Na 3.24, 4 Si 3.48
Ir: 0.7500 0.2500 0.5000  4 Ir 2.46
Ir: 0.2500 0.7500 0.5000  4 Ir 2.46

(20)
Here is a relaxed NaSi2Ir crystal from the Alexandria database. Energies are from PBE.

Results
ΔE_f (raw) = -48 meV per atom
crystal system = cubic
calculated volume = 14.45 A^3/atom
E_tot = -5.3044 eV per atom

a b c (Å): 4.3403 4.3403 4.3403
angles (deg): 60.00 60.00 60.00
With the nearest neighbours (Å) after each atom.
Element x y z (fractional)
Ir: 0.5000 0.5000 0.5000  8 Si 2.66
Si: 0.2500 0.2500 0.2500  4 Na 2.66, 4 Ir 2.66
Si: 0.7500 0.7500 0.7500  4 Na 2.66, 4 Ir 2.66
Na: 0.0000 0.0000 0.0000  8 Si 2.66